(1)
# CaSnPd2

A relaxed structure of CaSnPd2 (GGA-PBE, Alexandria via LeMat-Bulk).

As for the space group: No. 71.

The structure in CIF format:
```
data_CaSnPd2
_chemical_formula_sum 'Ca1 Sn1 Pd2'
_symmetry_space_group_name_H-M 'P 1'
_symmetry_Int_Tables_number 1
_cell_length_a 6.2467
_cell_length_b 6.2467
_cell_length_c 6.2467
_cell_angle_alpha 151.46
_cell_angle_beta 129.69
_cell_angle_gamma 58.86
loop_
_symmetry_equiv_pos_as_xyz
'x,y,z'
loop_
_atom_site_label
_atom_site_type_symbol
_atom_site_fract_x
_atom_site_fract_y
_atom_site_fract_z
_atom_site_occupancy
Ca1 Ca 0.0000 0.0000 0.0000 1
Sn1 Sn 0.5000 0.5000 0.0000 1
Pd1 Pd 0.2591 0.2591 0.0000 1
Pd2 Pd 0.7409 0.7409 0.0000 1
```


(2)
# Pu2In3Hg3

A relaxed structure of Pu2In3Hg3 (GGA-PBE, Alexandria via LeMat-Bulk).

As for the space group: No. 47.

The structure in CIF format:
```
data_Pu2In3Hg3
_chemical_formula_sum 'Pu2 In3 Hg3'
_symmetry_space_group_name_H-M 'P 1'
_symmetry_Int_Tables_number 1
_cell_length_a 4.5493
_cell_length_b 4.7231
_cell_length_c 9.5017
_cell_angle_alpha 90.00
_cell_angle_beta 90.00
_cell_angle_gamma 90.00
loop_
_symmetry_equiv_pos_as_xyz
'x,y,z'
loop_
_atom_site_label
_atom_site_type_symbol
_atom_site_fract_x
_atom_site_fract_y
_atom_site_fract_z
_atom_site_occupancy
Pu1 Pu 0.0000 0.0000 0.2481 1
Pu2 Pu 0.0000 0.0000 0.7519 1
In1 In 0.0000 0.5000 0.0000 1
In2 In 0.0000 0.5000 0.5000 1
In3 In 0.5000 0.0000 0.5000 1
Hg1 Hg 0.5000 0.0000 0.0000 1
Hg2 Hg 0.5000 0.5000 0.2604 1
Hg3 Hg 0.5000 0.5000 0.7396 1
```


no.,VASP energy (eV for the cell shown),total magnetic moment (Bohr magnetons per cell)
1,-16.473,0.00
2,-38.824,12.27